Record 1
Here is a geometry-optimized ReAs2 structure from the Alexandria database. Energies are from PBE.

```
data_ReAs2
_chemical_formula_sum 'Re3 As6'
_symmetry_space_group_name_H-M 'R -3 m'
_symmetry_Int_Tables_number 166
_symmetry_space_group_name_Hall '-R 3 2"'
_cell_length_a 3.0937
_cell_length_b 3.0937
_cell_length_c 21.1774
_cell_angle_alpha 90.00
_cell_angle_beta 90.00
_cell_angle_gamma 120.00
loop_
_atom_site_label
_atom_site_type_symbol
_atom_site_fract_x
_atom_site_fract_y
_atom_site_fract_z
Re1 Re 0.0000 0.0000 0.0000
As1 As 0.0000 0.0000 0.2463
```

Record 2
# ReAs5 PBE optimized geometry
# Distance to the lowest polymorph of the same formula in meV per atom: 154
data_ReAs5
_chemical_formula_sum 'Re2 As10'
_symmetry_space_group_name_H-M 'A m m 2'
_symmetry_Int_Tables_number 38
_cell_length_a 4.817
_cell_length_b 3.337
_cell_length_c 15.423
_cell_angle_alpha 90.00
_cell_angle_beta 90.00
_cell_angle_gamma 90.00
loop_
_symmetry_equiv_pos_as_xyz
'x,y,z'
'-x,-y,z'
'-x,y,z'
'x,-y,z'
'x,y+1/2,z+1/2'
'-x,-y+1/2,z+1/2'
'-x,y+1/2,z+1/2'
'x,-y+1/2,z+1/2'
loop_
_atom_site_label
_atom_site_type_symbol
_atom_site_fract_x
_atom_site_fract_y
_atom_site_fract_z
Re1 Re 0.000 0.000 0.000
As1 As 0.000 0.000 0.370
As2 As 0.000 0.000 0.630
As3 As 0.500 0.000 0.069
As4 As 0.500 0.000 0.434
As5 As 0.500 0.000 0.701

Record 3
Here is a geometry-optimized ReAs2 structure from the Alexandria database. Energies are from PBE.

```
data_ReAs2
_chemical_formula_sum 'Re2 As4'
_symmetry_space_group_name_H-M 'C 1 2/m 1'
_symmetry_Int_Tables_number 12
_cell_length_a 12.402
_cell_length_b 3.043
_cell_length_c 3.042
_cell_angle_alpha 90.00
_cell_angle_beta 103.98
_cell_angle_gamma 90.00
loop_
_symmetry_equiv_pos_as_xyz
'x,y,z'
'-x,-y,-z'
'-x,y,-z'
'x,-y,z'
'x+1/2,y+1/2,z'
'-x+1/2,-y+1/2,-z'
'-x+1/2,y+1/2,-z'
'x+1/2,-y+1/2,z'
loop_
_atom_site_label
_atom_site_type_symbol
_atom_site_fract_x
_atom_site_fract_y
_atom_site_fract_z
Re1 Re 0.000 0.000 0.000
As1 As 0.128 0.500 0.626
```

Record 4
Here is a geometry-optimized ReAs2 structure from the Alexandria database. Energies are from PBE.

```
data_ReAs2
_chemical_formula_sum 'Re2 As4'
_symmetry_space_group_name_H-M 'C m m m'
_symmetry_Int_Tables_number 65
_symmetry_space_group_name_Hall '-C 2 2'
_cell_length_a 3.080
_cell_length_b 11.774
_cell_length_c 3.046
_cell_angle_alpha 90.00
_cell_angle_beta 90.00
_cell_angle_gamma 90.00
loop_
_atom_site_label
_atom_site_type_symbol
_atom_site_fract_x
_atom_site_fract_y
_atom_site_fract_z
Re1 Re 0.000 0.000 0.000
As1 As 0.000 0.371 0.500
```

Record 5
Here is a geometry-optimized ReAs2 structure from the Alexandria database. Energies are from PBE.

```
data_ReAs2
_chemical_formula_sum 'Re1 As2'
_symmetry_space_group_name_H-M 'P 6/m m m'
_symmetry_Int_Tables_number 191
_symmetry_space_group_name_Hall '-P 6 2'
_cell_length_a 4.7252
_cell_length_b 4.7252
_cell_length_c 2.6434
_cell_angle_alpha 90.00
_cell_angle_beta 90.00
_cell_angle_gamma 120.00
loop_
_atom_site_label
_atom_site_type_symbol
_atom_site_fract_x
_atom_site_fract_y
_atom_site_fract_z
Re1 Re 0.0000 0.0000 0.0000
As1 As 0.3333 0.6667 0.0000
```

Record 6
Here is a geometry-optimized ReAs2 structure from the Alexandria database. Energies are from PBE.

```
data_ReAs2
_chemical_formula_sum 'Re4 As8'
_symmetry_space_group_name_H-M 'C 1 2/m 1'
_symmetry_Int_Tables_number 12
_cell_length_a 13.077
_cell_length_b 3.113
_cell_length_c 5.219
_cell_angle_alpha 90.00
_cell_angle_beta 96.28
_cell_angle_gamma 90.00
loop_
_symmetry_equiv_pos_as_xyz
'x,y,z'
'-x,-y,-z'
'-x,y,-z'
'x,-y,z'
'x+1/2,y+1/2,z'
'-x+1/2,-y+1/2,-z'
'-x+1/2,y+1/2,-z'
'x+1/2,-y+1/2,z'
loop_
_atom_site_label
_atom_site_type_symbol
_atom_site_fract_x
_atom_site_fract_y
_atom_site_fract_z
Re1 Re 0.188 0.000 0.324
As1 As 0.031 0.500 0.271
As2 As 0.174 0.000 0.815
```

Record 7
Here is a geometry-optimized ReAs2 structure from the Alexandria database. Energies are from PBE.

```
data_ReAs2
_chemical_formula_sum 'Re2 As4'
_symmetry_space_group_name_H-M 'P 1 21/m 1'
_symmetry_Int_Tables_number 11
_cell_length_a 5.884
_cell_length_b 3.114
_cell_length_c 6.260
_cell_angle_alpha 90.00
_cell_angle_beta 101.49
_cell_angle_gamma 90.00
loop_
_symmetry_equiv_pos_as_xyz
'x,y,z'
'-x,-y,-z'
'-x,y+1/2,-z'
'x,-y+1/2,z'
loop_
_atom_site_label
_atom_site_type_symbol
_atom_site_fract_x
_atom_site_fract_y
_atom_site_fract_z
Re1 Re 0.022 0.250 0.190
As1 As 0.209 0.250 0.605
As2 As 0.334 0.750 0.123
```

Record 8
# Re3As2 PBE optimized geometry
# Distance to the lowest polymorph of the same formula in meV per atom: 0
data_Re3As2
_chemical_formula_sum 'Re9 As6'
_symmetry_space_group_name_H-M 'R -3 m'
_symmetry_Int_Tables_number 166
_symmetry_space_group_name_Hall '-R 3 2"'
_cell_length_a 2.8866
_cell_length_b 2.8866
_cell_length_c 32.1072
_cell_angle_alpha 90.00
_cell_angle_beta 90.00
_cell_angle_gamma 120.00
loop_
_atom_site_label
_atom_site_type_symbol
_atom_site_fract_x
_atom_site_fract_y
_atom_site_fract_z
Re1 Re 0.0000 0.0000 0.0000
Re2 Re 0.0000 0.0000 0.1985
As1 As 0.0000 0.0000 0.3970

Record 9
Here is a geometry-optimized ReAs2 structure from the Alexandria database. Energies are from PBE.

```
data_ReAs2
_chemical_formula_sum 'Re4 As8'
_symmetry_space_group_name_H-M 'C 1 2/m 1'
_symmetry_Int_Tables_number 12
_cell_length_a 8.866
_cell_length_b 3.244
_cell_length_c 7.422
_cell_angle_alpha 90.00
_cell_angle_beta 99.50
_cell_angle_gamma 90.00
loop_
_symmetry_equiv_pos_as_xyz
'x,y,z'
'-x,-y,-z'
'-x,y,-z'
'x,-y,z'
'x+1/2,y+1/2,z'
'-x+1/2,-y+1/2,-z'
'-x+1/2,y+1/2,-z'
'x+1/2,-y+1/2,z'
loop_
_atom_site_label
_atom_site_type_symbol
_atom_site_fract_x
_atom_site_fract_y
_atom_site_fract_z
Re1 Re 0.179 0.000 0.229
As1 As 0.121 0.000 0.876
As2 As 0.128 0.500 0.468
```

Record 10
Here is a geometry-optimized ReAs2 structure from the Alexandria database. Energies are from PBE.

```
data_ReAs2
_chemical_formula_sum 'Re4 As8'
_symmetry_space_group_name_H-M 'C 1 2/m 1'
_symmetry_Int_Tables_number 12
_cell_length_a 12.874
_cell_length_b 3.129
_cell_length_c 6.264
_cell_angle_alpha 90.00
_cell_angle_beta 117.05
_cell_angle_gamma 90.00
loop_
_symmetry_equiv_pos_as_xyz
'x,y,z'
'-x,-y,-z'
'-x,y,-z'
'x,-y,z'
'x+1/2,y+1/2,z'
'-x+1/2,-y+1/2,-z'
'-x+1/2,y+1/2,-z'
'x+1/2,-y+1/2,z'
loop_
_atom_site_label
_atom_site_type_symbol
_atom_site_fract_x
_atom_site_fract_y
_atom_site_fract_z
Re1 Re 0.241 0.000 0.306
As1 As 0.084 0.500 0.282
As2 As 0.146 0.000 0.843
```

Record 11
Here is a geometry-optimized ReAs2 structure from the Alexandria database. Energies are from PBE.

```
data_ReAs2
_chemical_formula_sum 'Re2 As4'
_symmetry_space_group_name_H-M 'P 63/m m c'
_symmetry_Int_Tables_number 194
_symmetry_space_group_name_Hall '-P 6c 2c'
_cell_length_a 4.4713
_cell_length_b 4.4713
_cell_length_c 5.7508
_cell_angle_alpha 90.00
_cell_angle_beta 90.00
_cell_angle_gamma 120.00
loop_
_atom_site_label
_atom_site_type_symbol
_atom_site_fract_x
_atom_site_fract_y
_atom_site_fract_z
Re1 Re 0.3333 0.6667 0.2500
As1 As 0.0000 0.0000 0.0000
As2 As 0.3333 0.6667 0.7500
```

Record 12
Here is a geometry-optimized ReAs2 structure from the Alexandria database. Energies are from PBE.

```
data_ReAs2
_chemical_formula_sum 'Re3 As6'
_symmetry_space_group_name_H-M 'R 3 m'
_symmetry_Int_Tables_number 160
_symmetry_space_group_name_Hall 'R 3 -2"'
_cell_length_a 3.1489
_cell_length_b 3.1489
_cell_length_c 19.1299
_cell_angle_alpha 90.00
_cell_angle_beta 90.00
_cell_angle_gamma 120.00
loop_
_atom_site_label
_atom_site_type_symbol
_atom_site_fract_x
_atom_site_fract_y
_atom_site_fract_z
Re1 Re 0.0000 0.0000 0.0000
As1 As 0.0000 0.0000 0.2401
As2 As 0.0000 0.0000 0.4271
```

Magnetic moment? In order: 0.00, 0.00, 0.00, 0.00, 0.00, 0.00, 0.00, 0.00, 0.00, 0.00, 0.00, 0.00 μB/f.u..
VASP energy? In order: -7.161, -5.658, -7.139, -7.146, -6.792, -7.215, -7.270, -9.047, -7.224, -7.264, -6.518, -7.191 eV per atom.
Formation energy from the elements? In order: 88.1, 290.9, 110.2, 102.7, 456.8, 34.1, -21.2, 281.8, 25.2, -14.9, 730.6, 58.3 meV per atom.